Here is a geometry-optimized Ho2TiCrO6 structure from Alexandria via LeMat-Bulk. Energies are from PBE with a Hubbard U.

a = 5.190 Å, b = 5.190 Å, c = 4.998 Å
α = 90.00°, β = 90.00°, γ = 90.00°
Element x y z (fractional)
Ho 0.000 0.500 0.000
Ho 0.500 0.000 0.000
Ti 0.000 0.000 0.591
Cr 0.500 0.500 0.595
O 0.000 0.000 0.223
O 0.240 0.240 0.740
O 0.240 0.760 0.740
O 0.500 0.500 0.165
O 0.760 0.240 0.740
O 0.760 0.760 0.740

Output
Total magnetic moment, μB/cell: 4.00
Space group: P4mm (99)
V, Å³/cell: 135
Calculated total energy, eV per atom: -8.26